Compound: DyScGa
Source: the Open Quantum Materials Database
Functional: PBE
Structure: relaxed

POSCAR file:
```
DyScGa
1.0
0.0000 3.3955 3.3955
3.3955 0.0000 3.3955
3.3955 3.3955 0.0000
Dy Sc Ga
1 1 1
Direct
0.0000 0.0000 0.0000
0.5000 0.5000 0.5000
0.2500 0.2500 0.2500
```

Output
The volume is 26.1 Å³ per atom. The space group is F-43m, No. 216. Its size of the total moment is 0.06 μB per formula unit. Its calculated total energy is -14.707 eV per cell.